SrCdCoPb2 (PBE, optimized geometry); symmetry = No. 123; electronic total energy = -2.217 eV/atom; total moment = 0.0 μB per formula unit; energy relative to the elements = 1.207 eV/atom; Fermi-level density of states = 5.3 states/eV/cell
1.0
6.1498 0.0000 0.0000
0.0000 6.1498 0.0000
0.0000 0.0000 4.6534
Sr Cd Co Pb
1 1 1 2
Direct
0.0000 0.0000 0.0000
0.5000 0.5000 0.5000
0.0000 0.0000 0.5000
0.0000 0.5000 0.0000
0.5000 0.0000 0.0000


LiTaRu (PBE, optimized geometry); symmetry = No. 160; electronic total energy = -7.596 eV/atom; total moment = 0.0 μB per formula unit; energy relative to the elements = 0.085 eV/atom; polymorph energy (0 for the lowest one) = 0.259 eV/f.u.; Fermi-level density of states = 4.7 states/eV/cell
1.0
1.4619 0.8440 13.6682
-1.4619 0.8440 13.6682
0.0000 -1.6881 13.6682
Li Ta Ru
2 2 2
Direct
0.0000 0.0000 0.0000
0.2695 0.2695 0.2695
0.3954 0.3954 0.3954
0.5015 0.5015 0.5015
0.1161 0.1161 0.1161
0.8840 0.8840 0.8840


K2Be2H (PBE, optimized geometry); symmetry = No. 139; electronic total energy = -1.705 eV/atom; total moment = 0.0 μB per formula unit; polymorph energy (0 for the lowest one) = 0.000 eV/f.u.; Fermi-level density of states = 4.4 states/eV/cell
1.0
-3.2718 3.2718 2.7679
3.2718 -3.2718 2.7679
3.2718 3.2718 -2.7679
K Be H
2 2 1
Direct
0.2500 0.7500 0.5000
0.7500 0.2500 0.5000
0.1882 0.1882 0.0000
0.8118 0.8118 0.0000
0.5000 0.5000 0.0000


Sr2In4Pt3 (PBE, optimized geometry); symmetry = No. 189; electronic total energy = -4.311 eV/atom; total moment = 0.0 μB per formula unit; energy relative to the elements = -0.707 eV/atom; Fermi-level density of states = 14.4 states/eV/cell
1.0
14.9148 0.0000 0.0000
-7.4574 12.9166 0.0000
0.0000 0.0000 4.5386
Sr In Pt
8 16 12
Direct
0.0000 0.1853 0.0000
0.0000 0.5528 0.5000
0.1853 0.0000 0.0000
0.3333 0.6667 0.5000
0.4472 0.4472 0.5000
0.5528 0.0000 0.5000
0.6667 0.3333 0.5000
0.8147 0.8147 0.0000
0.0000 0.0000 0.5000
0.0000 0.7224 0.0000
0.1250 0.4811 0.0000
0.1833 0.8058 0.5000
0.1942 0.3775 0.5000
0.2776 0.2776 0.0000
0.3560 0.8750 0.0000
0.3775 0.1942 0.5000
0.4811 0.1250 0.0000
0.5189 0.6440 0.0000
0.6225 0.8167 0.5000
0.6440 0.5189 0.0000
0.7224 0.0000 0.0000
0.8058 0.1833 0.5000
0.8167 0.6225 0.5000
0.8750 0.3560 0.0000
0.0000 0.3524 0.5000
0.0000 0.8198 0.5000
0.1705 0.6877 0.0000
0.1802 0.1802 0.5000
0.3123 0.4827 0.0000
0.3524 0.0000 0.5000
0.4827 0.3123 0.0000
0.5173 0.8295 0.0000
0.6476 0.6476 0.5000
0.6877 0.1705 0.0000
0.8198 0.0000 0.5000
0.8295 0.5173 0.0000


- Which of these has the highest Fermi-level density of states?
  Sr2In4Pt3